Density functional theory data (PBE) for a geometry-optimized Hf3Zr7 structure.

Results
Relative energy among the computed polymorphs (meV per atom): 0.0
Total DFT energy (no corrections) (eV per atom): -8.92
Calculated volume (Å³ per atom): 23.0
Energy relative to the elements (eV/atom): 0.052

```
Hf3Zr7
1.0
8.087 -2.453 0.000
8.087 2.453 0.000
-2.429 0.000 5.787
Hf Zr
3 7
Direct
0.000 0.000 0.000 Hf
0.201 0.201 0.701 Hf
0.799 0.799 0.299 Hf
0.000 0.000 0.500 Zr
0.201 0.201 0.201 Zr
0.396 0.396 0.146 Zr
0.396 0.396 0.646 Zr
0.604 0.604 0.354 Zr
0.604 0.604 0.854 Zr
0.799 0.799 0.799 Zr
```